# 1
Here is a geometry-optimized MnAl2 structure from Alexandria via LeMat-Bulk. Energies are from GGA-PBE.

Properties
formation energy: -0.68 eV/f.u.

Cell: 3.6229 12.1606 3.7589 Å, 90.00 90.00 90.00°
With the nearest neighbours (Å) after each atom.
Space group Cmcm (No. 63)
Unique sites:
Mn 0.0000 0.0898 0.2500 (multiplicity 4)  10 Al 2.62-2.72, 2 Mn 2.88
Al 0.0000 0.2510 0.7500 (multiplicity 4)  8 Al 2.61-2.84, 4 Mn 2.65-2.72
Al 0.0000 0.4260 0.2500 (multiplicity 4)  6 Al 2.60-2.84, 6 Mn 2.62-2.69

# 2
Here is a geometry-optimized Mn3Al structure from Alexandria via LeMat-Bulk. Energies are from GGA-PBE.

Properties
formation energy: -0.05 eV/f.u.

Cell: 2.5939 2.5939 8.0920 Å, 90.00 90.00 120.00°
With the nearest neighbours (Å) after each atom.
Space group P-6m2 (No. 187)
Unique sites:
Mn 0.0000 0.0000 0.0000 (multiplicity 1)  12 Mn 2.45-2.59
Mn 0.6667 0.3333 0.2399 (multiplicity 2)  9 Mn 2.45-2.59, 3 Al 2.58
Al 0.0000 0.0000 0.5000 (multiplicity 1)  6 Mn 2.58, 6 Al 2.59

# 3
Here is a geometry-optimized MnAl2 structure from Alexandria via LeMat-Bulk. Energies are from GGA-PBE.

Properties
formation energy: -0.58 eV/f.u.

Cell: 4.2544 4.2544 2.6639 Å, 90.00 90.00 90.00°
With the nearest neighbours (Å) after each atom.
Space group P4/mmm (No. 123)
Unique sites:
Mn 0.0000 0.0000 0.0000 (multiplicity 1)  8 Al 2.51, 2 Mn 2.66
Al 0.0000 0.5000 0.5000 (multiplicity 2)  4 Mn 2.51, 2 Al 2.66

# 4
Here is a geometry-optimized Mn5Al4 structure from Alexandria via LeMat-Bulk. Energies are from GGA-PBE.

Properties
formation energy: -0.89 eV/f.u.

Cell: 7.9270 7.9270 3.8537 Å, 90.00 90.00 90.00°
With the nearest neighbours (Å) after each atom.
Space group I4/mmm (No. 139)
Unique sites:
Mn 0.0000 0.0000 0.0000 (multiplicity 2)  4 Al 2.49, 8 Mn 2.69
Mn 0.1676 0.1676 0.5000 (multiplicity 8)  6 Al 2.61-2.64, 6 Mn 2.66-2.69
Al 0.0000 0.3145 0.0000 (multiplicity 8)  7 Mn 2.49-2.64

# 5
Here is a geometry-optimized Mn5Al structure from Alexandria via LeMat-Bulk. Energies are from GGA-PBE.

Properties
energy above the lowest structure with this stoichiometry: 0.036 eV/atom
formation energy: -0.24 eV/f.u.

Cell: 2.8078 2.8078 8.7153 Å, 90.00 90.00 90.00°
With the nearest neighbours (Å) after each atom.
Space group P4/mmm (No. 123)
Unique sites:
Mn 0.0000 0.0000 0.0000 (multiplicity 1)  10 Mn 2.48-2.78
Mn 0.0000 0.0000 0.3191 (multiplicity 2)  4 Mn 2.37, 4 Al 2.54
Mn 0.5000 0.5000 0.1713 (multiplicity 2)  8 Mn 2.37-2.48
Al 0.5000 0.5000 0.5000 (multiplicity 1)  8 Mn 2.54, 4 Al 2.81

# 6
Here is a geometry-optimized Mn2Al structure from Alexandria via LeMat-Bulk. Energies are from GGA-PBE.

Properties
formation energy: 1.13 eV/f.u.

Cell: 3.3969 3.3969 13.9952 Å, 90.00 90.00 90.00°
With the nearest neighbours (Å) after each atom.
Space group I4_1/amd (No. 141, origin choice 2)
Unique sites:
Mn 0.0000 0.2500 0.2945 (multiplicity 8)  3 Mn 2.11-2.25
Al 0.0000 0.2500 0.8750 (multiplicity 4)  12 Mn 2.65-2.92

# 7
Here is a geometry-optimized MnAl2 structure from Alexandria via LeMat-Bulk. Energies are from GGA-PBE.

Properties
formation energy: -0.43 eV/f.u.

Cell: 9.4698 2.8455 6.5927 Å, 90.00 109.08 90.00°
With the nearest neighbours (Å) after each atom.
Space group C2/m (No. 12)
Unique sites:
Mn 0.1799 0.0000 0.1488 (multiplicity 4)  8 Al 2.55-2.74, 2 Mn 2.85
Al 0.0397 0.5000 0.8220 (multiplicity 4)  5 Mn 2.56-2.60, 5 Al 2.69-2.85
Al 0.1493 0.0000 0.5477 (multiplicity 4)  3 Mn 2.55-2.74, 7 Al 2.61-2.85

# 8
Here is a geometry-optimized Mn2Al5 structure from Alexandria via LeMat-Bulk. Energies are from GGA-PBE.

Properties
energy above the lowest structure with this stoichiometry: 0.000 eV/atom
formation energy: -1.67 eV/f.u.

Cell: 7.6388 7.6388 8.0829 Å, 90.00 90.00 120.00°
With the nearest neighbours (Å) after each atom.
Space group P6_3/mmc (No. 194)
Unique sites:
Mn 0.1191 0.2382 0.2500 (multiplicity 6)  6 Al 2.48-2.62, 2 Mn 2.73
Mn 0.3333 0.6667 0.7500 (multiplicity 2)  9 Al 2.43-2.67
Al 0.0000 0.0000 0.0000 (multiplicity 2)  6 Mn 2.56, 6 Al 2.64
Al 0.0709 0.5355 0.2500 (multiplicity 6)  3 Mn 2.48-2.67
Al 0.1977 0.3954 0.5479 (multiplicity 12)  2 Mn 2.43-2.62, 1 Al 2.64

# 9
Here is a geometry-optimized Mn2Al structure from Alexandria via LeMat-Bulk. Energies are from GGA-PBE.

Properties
formation energy: -0.29 eV/f.u.

Cell: 8.9488 2.7803 6.0759 Å, 90.00 110.41 90.00°
With the nearest neighbours (Å) after each atom.
Space group C2/m (No. 12)
Unique sites:
Mn 0.0058 0.0000 0.2382 (multiplicity 4)  4 Mn 2.36-2.44, 4 Al 2.50-2.57
Mn 0.1589 0.5000 0.0622 (multiplicity 4)  6 Mn 2.36-2.45, 2 Al 2.53
Al 0.1633 0.5000 0.6000 (multiplicity 4)  7 Mn 2.50-2.78, 5 Al 2.67-2.78

# 10
Here is a geometry-optimized Mn5Al structure from Alexandria via LeMat-Bulk. Energies are from GGA-PBE.

Properties
energy above the lowest structure with this stoichiometry: 0.099 eV/atom
formation energy: 0.14 eV/f.u.

Cell: 6.5963 6.5963 6.5963 Å, 90.00 90.00 90.00°
With the nearest neighbours (Å) after each atom.
Space group F-43m (No. 216)
Unique sites:
Mn 0.0000 0.0000 0.0000 (multiplicity 4)  12 Mn 2.74, 4 Al 2.86
Mn 0.1242 0.1242 0.6242 (multiplicity 16)  6 Mn 2.32-2.35
Al 0.2500 0.2500 0.2500 (multiplicity 4)  16 Mn 2.73-2.86

# 11
Here is a geometry-optimized Mn2Al structure from Alexandria via LeMat-Bulk. Energies are from GGA-PBE.

Properties
formation energy: -0.12 eV/f.u.

Cell: 2.5762 3.7464 7.5261 Å, 90.00 90.00 90.00°
With the nearest neighbours (Å) after each atom.
Space group Immm (No. 71)
Unique sites:
Mn 0.0000 0.0000 0.1648 (multiplicity 4)  7 Mn 2.48-2.61, 5 Al 2.52-2.59
Al 0.0000 0.0000 0.5000 (multiplicity 2)  10 Mn 2.52-2.59, 2 Al 2.58

# 12
Here is a geometry-optimized Mn3Al structure from Alexandria via LeMat-Bulk. Energies are from GGA-PBE.

Properties
formation energy: -0.44 eV/f.u.

Cell: 2.6588 3.4796 5.3469 Å, 90.00 90.00 90.00°
With the nearest neighbours (Å) after each atom.
Space group Pmmm (No. 47)
Unique sites:
Mn 0.0000 0.0000 0.0000 (multiplicity 1)  10 Mn 2.55-2.66, 2 Al 2.67
Mn 0.5000 0.5000 0.2441 (multiplicity 2)  8 Mn 2.55-2.74, 4 Al 2.58
Al 0.0000 0.0000 0.5000 (multiplicity 1)  10 Mn 2.58-2.67, 2 Al 2.66

# 13
Here is a geometry-optimized MnAl2 structure from Alexandria via LeMat-Bulk. Energies are from GGA-PBE.

Properties
formation energy: -0.17 eV/f.u.

Cell: 2.7728 13.8599 4.4970 Å, 90.00 90.00 90.00°
With the nearest neighbours (Å) after each atom.
Space group Cmcm (No. 63)
Unique sites:
Mn 0.0000 0.2158 0.2500 (multiplicity 4)  6 Al 2.57-2.58, 6 Mn 2.77-2.81
Al 0.0000 0.1268 0.7500 (multiplicity 4)  4 Mn 2.57-2.58, 6 Al 2.77-2.80
Al 0.0000 0.4403 0.7500 (multiplicity 4)  2 Mn 2.57, 8 Al 2.77-2.80

# 14
Here is a geometry-optimized MnAl2 structure from Alexandria via LeMat-Bulk. Energies are from GGA-PBE.

Properties
formation energy: -0.62 eV/f.u.

Cell: 4.9885 4.0480 7.9388 Å, 90.00 90.00 90.00°
With the nearest neighbours (Å) after each atom.
Space group Pnma (No. 62)
Unique sites:
Mn 0.1538 0.2500 0.1305 (multiplicity 4)  10 Al 2.48-2.71
Al 0.1131 0.2500 0.8031 (multiplicity 4)  5 Mn 2.48-2.71, 5 Al 2.63-2.78
Al 0.1531 0.2500 0.4543 (multiplicity 4)  5 Mn 2.57-2.64, 5 Al 2.63-2.78

# 15
Here is a geometry-optimized Mn5Al4 structure from Alexandria via LeMat-Bulk. Energies are from GGA-PBE.

Properties
formation energy: -0.90 eV/f.u.

Cell: 7.3527 7.3527 5.1134 Å, 90.00 90.00 120.00°
With the nearest neighbours (Å) after each atom.
Space group P6_3/mcm (No. 193)
Unique sites:
Mn 0.0000 0.2962 0.2500 (multiplicity 6)  7 Al 2.42-2.62
Mn 0.3333 0.6667 0.0000 (multiplicity 4)  2 Mn 2.56, 6 Al 2.64
Al 0.0000 0.0000 0.0000 (multiplicity 2)  6 Mn 2.53, 2 Al 2.56
Al 0.0000 0.3741 0.7500 (multiplicity 6)  9 Mn 2.42-2.64

# 16
Here is a geometry-optimized Mn3Al structure from Alexandria via LeMat-Bulk. Energies are from GGA-PBE.

Properties
formation energy: 0.05 eV/f.u.

Cell: 7.9512 7.9512 2.5183 Å, 90.00 90.00 120.00°
With the nearest neighbours (Å) after each atom.
Space group R-3m (No. 166, hexagonal axes)
Unique sites:
Mn 0.0000 0.5000 0.0000 (multiplicity 9)  2 Al 2.44, 6 Mn 2.44-2.52
Al 0.0000 0.0000 0.0000 (multiplicity 3)  6 Mn 2.44, 2 Al 2.52

# 17
Here is a geometry-optimized Mn2Al structure from Alexandria via LeMat-Bulk. Energies are from GGA-PBE.

Properties
formation energy: 1.42 eV/f.u.

Cell: 5.8017 5.8017 5.8017 Å, 90.00 90.00 90.00°
With the nearest neighbours (Å) after each atom.
Space group Fm-3m (No. 225)
Unique sites:
Mn 0.2500 0.2500 0.2500 (multiplicity 8)  4 Al 2.51
Al 0.0000 0.0000 0.0000 (multiplicity 4)  8 Mn 2.51

# 18
Here is a geometry-optimized Mn2Al structure from Alexandria via LeMat-Bulk. Energies are from GGA-PBE.

Properties
formation energy: 0.52 eV/f.u.

Cell: 2.6849 4.0397 14.2303 Å, 90.00 90.00 90.00°
With the nearest neighbours (Å) after each atom.
Space group Imma (No. 74)
Unique sites:
Mn 0.0000 0.2500 0.0360 (multiplicity 4)  3 Mn 2.16-2.26
Mn 0.0000 0.2500 0.1880 (multiplicity 4)  3 Mn 2.16-2.22
Al 0.0000 0.2500 0.6342 (multiplicity 4)  10 Mn 2.54-2.80, 2 Al 2.68

# 19
Here is a geometry-optimized MnAl2 structure from Alexandria via LeMat-Bulk. Energies are from GGA-PBE.

Properties
formation energy: 0.27 eV/f.u.

Cell: 5.9170 5.9170 5.9170 Å, 90.00 90.00 90.00°
With the nearest neighbours (Å) after each atom.
Space group Fm-3m (No. 225)
Unique sites:
Mn 0.0000 0.0000 0.0000 (multiplicity 4)  8 Al 2.56
Al 0.2500 0.2500 0.2500 (multiplicity 8)  4 Mn 2.56

# 20
Here is a geometry-optimized Mn24Al5 structure from Alexandria via LeMat-Bulk. Energies are from GGA-PBE.

Properties
formation energy: -4.39 eV/f.u.

Cell: 8.7126 8.7126 8.7126 Å, 90.00 90.00 90.00°
With the nearest neighbours (Å) after each atom.
Space group I-43m (No. 217)
Unique sites:
Mn 0.0288 0.3562 0.6438 (multiplicity 24)  3 Mn 2.24-2.47
Mn 0.0894 0.0894 0.7171 (multiplicity 24)  6 Mn 2.20-2.47
Al 0.0000 0.0000 0.0000 (multiplicity 2)  12 Mn 2.70, 4 Al 2.79
Al 0.1846 0.1846 0.1846 (multiplicity 8)  15 Mn 2.55-2.82, 1 Al 2.79

# 21
Here is a geometry-optimized Mn3Al structure from Alexandria via LeMat-Bulk. Energies are from GGA-PBE.

Properties
formation energy: -0.25 eV/f.u.

Cell: 4.5138 4.5138 4.5138 Å, 90.00 90.00 90.00°
With the nearest neighbours (Å) after each atom.
Space group Pm-3n (No. 223)
Unique sites:
Mn 0.0000 0.2500 0.5000 (multiplicity 6)  2 Mn 2.26, 4 Al 2.52
Al 0.0000 0.0000 0.0000 (multiplicity 2)  12 Mn 2.52

# 22
Here is a geometry-optimized Mn2Al structure from Alexandria via LeMat-Bulk. Energies are from GGA-PBE.

Properties
formation energy: -0.51 eV/f.u.

Cell: 2.8324 12.2065 4.0947 Å, 90.00 90.00 90.00°
With the nearest neighbours (Å) after each atom.
Space group Cmcm (No. 63)
Unique sites:
Mn 0.0000 0.0920 0.2500 (multiplicity 4)  2 Mn 2.33, 6 Al 2.49-2.56
Mn 0.0000 0.2567 0.7500 (multiplicity 4)  6 Mn 2.33-2.49, 2 Al 2.55
Al 0.0000 0.4174 0.2500 (multiplicity 4)  8 Mn 2.49-2.56

# 23
Here is a geometry-optimized Mn2Al structure from Alexandria via LeMat-Bulk. Energies are from GGA-PBE.

Properties
formation energy: -0.24 eV/f.u.

Cell: 3.6203 3.6203 23.3048 Å, 90.00 90.00 90.00°
With the nearest neighbours (Å) after each atom.
Space group I4_1/amd (No. 141, origin choice 2)
Unique sites:
Mn 0.0000 0.2500 0.1254 (multiplicity 8)  8 Mn 2.56-2.65, 4 Al 2.60-2.61
Mn 0.0000 0.2500 0.2924 (multiplicity 8)  6 Al 2.56-2.72, 6 Mn 2.64-2.68
Al 0.0000 0.2500 0.7948 (multiplicity 8)  10 Mn 2.56-2.72, 2 Al 2.76

# 24
Here is a geometry-optimized Mn3Al structure from Alexandria via LeMat-Bulk. Energies are from GGA-PBE.

Properties
formation energy: -0.44 eV/f.u.

Cell: 2.8472 4.0654 8.0211 Å, 90.00 90.00 90.00°
With the nearest neighbours (Å) after each atom.
Space group Immm (No. 71)
Unique sites:
Mn 0.0000 0.0000 0.0000 (multiplicity 2)  4 Mn 2.40, 4 Al 2.48
Mn 0.0000 0.5000 0.2588 (multiplicity 4)  6 Mn 2.40-2.49, 2 Al 2.52
Al 0.0000 0.0000 0.5000 (multiplicity 2)  8 Mn 2.48-2.52